Compound: Tb12Pm3Zr
Source: the Alexandria database
Functional: PBE
Structure: relaxed

Cell and atoms, written as CIF:
```
data_Tb12Pm3Zr
_chemical_formula_sum 'Tb12 Pm3 Zr1'
_space_group_name_H-M_alt 'P 1'
_space_group_IT_number 1
_space_group_name_Hall 'P 1'
_cell_length_a 5.0239
_cell_length_b 5.0239
_cell_length_c 20.0621
_cell_angle_alpha 90.00
_cell_angle_beta 90.00
_cell_angle_gamma 90.00
loop_
_atom_site_label
_atom_site_fract_x
_atom_site_fract_y
_atom_site_fract_z
Zr1 0.0000 0.0000 0.0000
Tb1 0.5000 0.5000 0.7544
Tb2 0.0000 0.5000 0.3725
Tb3 0.5000 0.0000 0.6275
Tb4 0.5000 0.5000 0.0000
Tb5 0.5000 0.5000 0.2456
Pm1 0.0000 0.0000 0.5000
Tb6 0.0000 0.5000 0.8835
Tb7 0.0000 0.5000 0.1165
Tb8 0.0000 0.5000 0.6275
Tb9 0.5000 0.5000 0.5000
Tb10 0.5000 0.0000 0.3725
Tb11 0.5000 0.0000 0.1165
Pm2 0.0000 0.0000 0.7530
Tb12 0.5000 0.0000 0.8835
Pm3 0.0000 0.0000 0.2470
```

The formation energy comes out at 37 meV per atom.

---

Compound: NdGePb2
Source: the Alexandria database
Functional: PBE
Structure: relaxed

Cell and atoms, written as CIF:
```
data_NdGePb2
_chemical_formula_sum 'Nd1 Ge1 Pb2'
_space_group_name_H-M_alt 'P 1'
_space_group_IT_number 1
_space_group_name_Hall 'P 1'
_cell_length_a 3.6238
_cell_length_b 3.6238
_cell_length_c 11.1011
_cell_angle_alpha 80.61
_cell_angle_beta 80.61
_cell_angle_gamma 60.00
loop_
_atom_site_label
_atom_site_fract_x
_atom_site_fract_y
_atom_site_fract_z
Nd1 0.0000 0.0000 0.0000
Pb1 0.0991 0.0991 0.7028
Ge1 0.5000 0.5000 0.5000
Pb2 0.9009 0.9009 0.2972
```

The formation energy comes out at 186 meV per atom.

---

Compound: CsPt4I12
Source: the Alexandria database
Functional: PBE
Structure: relaxed

Cell and atoms, written as CIF:
```
data_CsPt4I12
_chemical_formula_sum 'Cs1 Pt4 I12'
_space_group_name_H-M_alt 'P 1'
_space_group_IT_number 1
_space_group_name_Hall 'P 1'
_cell_length_a 9.2202
_cell_length_b 9.2202
_cell_length_c 9.2202
_cell_angle_alpha 109.47
_cell_angle_beta 109.47
_cell_angle_gamma 109.47
loop_
_atom_site_label
_atom_site_fract_x
_atom_site_fract_y
_atom_site_fract_z
I1 0.8046 0.3073 0.1119
Pt1 0.0000 0.0000 0.5000
I2 0.3073 0.1119 0.8046
I3 0.1954 0.6927 0.8881
I4 0.4974 0.8046 0.6927
I5 0.6927 0.8881 0.1954
I6 0.3073 0.5026 0.1954
Pt2 0.5000 0.0000 0.0000
Cs1 0.0000 0.0000 0.0000
I7 0.1119 0.8046 0.3073
Pt3 0.0000 0.5000 0.0000
I8 0.6927 0.4974 0.8046
Pt4 0.5000 0.5000 0.5000
I9 0.8046 0.6927 0.4974
I10 0.8881 0.1954 0.6927
I11 0.1954 0.3073 0.5026
I12 0.5026 0.1954 0.3073
```

For the uncorrected formation energy, the calculation gives -185 meV/atom.

---

Compound: Ce2ZrBi
Source: the Alexandria database
Functional: PBE
Structure: relaxed

Cell and atoms, written as CIF:
```
data_Ce2ZrBi
_chemical_formula_sum 'Ce2 Zr1 Bi1'
_space_group_name_H-M_alt 'P 1'
_space_group_IT_number 1
_space_group_name_Hall 'P 1'
_cell_length_a 3.3421
_cell_length_b 3.3421
_cell_length_c 12.1695
_cell_angle_alpha 82.11
_cell_angle_beta 82.11
_cell_angle_gamma 60.00
loop_
_atom_site_label
_atom_site_fract_x
_atom_site_fract_y
_atom_site_fract_z
Zr1 0.5000 0.5000 0.5000
Bi1 0.0000 0.0000 0.0000
Ce1 0.0913 0.0913 0.7260
Ce2 0.9087 0.9087 0.2740
```

The formation energy comes out at 105 meV per atom.